# GGA-PBEsol CdSiTe2Br, optimized geometry
# **VASP energy**: -2.569 eV/atom
data_CdSiTe2Br
_chemical_formula_sum 'Cd1 Si1 Te2 Br1'
_cell_length_a 5.511
_cell_length_b 5.511
_cell_length_c 5.136
_cell_angle_alpha 90.00
_cell_angle_beta 90.00
_cell_angle_gamma 90.00
_symmetry_space_group_name_H-M 'P 4/m m m'
_symmetry_Int_Tables_number 123
_symmetry_space_group_name_Hall '-P 4 2'
loop_
_atom_site_label
_atom_site_fract_x
_atom_site_fract_y
_atom_site_fract_z
_atom_site_occupancy
Cd1 0.000 0.000 0.000 1
Si1 0.500 0.500 0.500 1
Te1 0.000 0.500 0.000 1
Br1 0.000 0.000 0.500 1